i) An optimized crystal structure of Re2TcMo, computed with GGA-PBE.

Cell: 9.2109 2.7796 4.8108 Å, 90.00 99.89 90.00°
Last column: nearest neighbours and their distance in Å.
Space group Cm (No. 8)
Inequivalent atoms, fractional coordinates:
1 Re 0.0000 0.0000 0.0000 [2 per cell]  5 Re 2.74-2.80, 3 Tc 2.74-2.80, 4 Mo 2.77-2.79
2 Re 0.2455 0.5000 0.2440 [2 per cell]  5 Re 2.74-2.80, 4 Tc 2.75-2.81, 3 Mo 2.76-2.83
3 Tc 0.2547 0.0000 0.7544 [2 per cell]  7 Re 2.74-2.81, 3 Mo 2.75-2.81, 2 Tc 2.78
4 Mo 0.0004 0.5000 0.5025 [2 per cell]  3 Tc 2.75-2.81, 7 Re 2.76-2.83, 2 Mo 2.78

ii) An optimized crystal structure of Re2TcMo, computed with GGA-PBE.

Cell: 6.2386 6.2386 6.2386 Å, 90.00 90.00 90.00°
Last column: nearest neighbours and their distance in Å.
Space group F-43m (No. 216)
Inequivalent atoms, fractional coordinates:
1 Re 0.0000 0.0000 0.0000 [4 per cell]  4 Re 2.70, 4 Tc 2.70
2 Re 0.2500 0.2500 0.2500 [4 per cell]  4 Mo 2.70, 4 Re 2.70
3 Tc 0.2500 0.2500 0.7500 [4 per cell]  4 Re 2.70, 4 Mo 2.70
4 Mo 0.0000 0.0000 0.5000 [4 per cell]  4 Re 2.70, 4 Tc 2.70

iii) An optimized crystal structure of Re2TcMo, computed with GGA-PBE.

Cell: 2.7151 4.3250 5.3227 Å, 90.00 103.16 90.00°
Last column: nearest neighbours and their distance in Å.
Space group P2/m (No. 10)
Inequivalent atoms, fractional coordinates:
1 Re 0.1813 0.0000 0.2484 [2 per cell]  4 Re 2.60-2.84, 2 Mo 2.65, 2 Tc 2.77
2 Tc 0.5000 0.5000 0.0000 [1 per cell]  2 Mo 2.70, 2 Tc 2.72, 8 Re 2.77-2.96
3 Mo 0.0000 0.5000 0.5000 [1 per cell]  4 Re 2.65, 2 Tc 2.70, 2 Mo 2.72

So which one is most stable? That would be i), about 3.2 kJ/mol of atoms below the next structure.

i) An optimized crystal structure of ReTc2Mo, computed with GGA-PBE.

Cell: 3.1188 4.4064 8.7903 Å, 90.00 90.00 90.00°
Last column: nearest neighbours and their distance in Å.
Space group Cmm2 (No. 35)
Inequivalent atoms, fractional coordinates:
1 Re 0.0000 0.0000 0.0000 [2 per cell]  2 Tc 2.69, 4 Re 2.70, 2 Mo 2.72
2 Tc 0.0000 0.0000 0.5046 [2 per cell]  6 Tc 2.67-2.70, 2 Mo 2.70
3 Tc 0.0000 0.5000 0.7513 [2 per cell]  6 Tc 2.67-2.70, 2 Re 2.69
4 Mo 0.0000 0.5000 0.2538 [2 per cell]  4 Mo 2.70, 2 Tc 2.70, 2 Re 2.72

ii) An optimized crystal structure of ReTc2Mo, computed with GGA-PBE.

Cell: 2.7590 2.7590 27.3947 Å, 90.00 90.00 120.00°
Last column: nearest neighbours and their distance in Å.
Space group R3m (No. 160, hexagonal axes)
Inequivalent atoms, fractional coordinates:
1 Re 0.0000 0.0000 0.0000 [3 per cell]  3 Tc 2.74, 6 Re 2.76, 3 Mo 2.85
2 Tc 0.0000 0.0000 0.4960 [3 per cell]  9 Tc 2.74-2.76, 3 Mo 2.81
3 Tc 0.0000 0.0000 0.7480 [3 per cell]  9 Tc 2.74-2.76, 3 Re 2.74
4 Mo 0.0000 0.0000 0.2473 [3 per cell]  6 Mo 2.76, 3 Tc 2.81, 3 Re 2.85

iii) An optimized crystal structure of ReTc2Mo, computed with GGA-PBE.

Cell: 5.6259 5.6259 11.2964 Å, 90.00 90.00 90.00°
Last column: nearest neighbours and their distance in Å.
Space group I-42d (No. 122)
Inequivalent atoms, fractional coordinates:
1 Re 0.0000 0.0000 0.0000 [4 per cell]  4 Tc 2.42
2 Tc 0.2453 0.2500 0.1250 [8 per cell]  2 Re 2.42, 2 Mo 2.45
3 Mo 0.0000 0.0000 0.5000 [4 per cell]  4 Tc 2.45

So which one is most stable? That would be ii), about 5.5 kJ/mol of atoms below the next structure.

i) An optimized crystal structure of ReTc2Mo, computed with GGA-PBE.

Cell: 2.7144 4.2913 5.3324 Å, 90.00 103.43 90.00°
Last column: nearest neighbours and their distance in Å.
Space group P2/m (No. 10)
Inequivalent atoms, fractional coordinates:
1 Re 0.0000 0.0000 0.0000 [1 per cell]  2 Mo 2.70, 2 Re 2.71, 8 Tc 2.78-2.92
2 Tc 0.3323 0.5000 0.7511 [2 per cell]  4 Tc 2.60-2.86, 2 Mo 2.62, 2 Re 2.78
3 Mo 0.5000 0.0000 0.5000 [1 per cell]  4 Tc 2.62, 2 Re 2.70, 2 Mo 2.71

ii) An optimized crystal structure of ReTc2Mo, computed with GGA-PBE.

Cell: 2.7707 3.9155 5.5530 Å, 90.00 90.00 90.00°
Last column: nearest neighbours and their distance in Å.
Space group Pmmm (No. 47)
Inequivalent atoms, fractional coordinates:
1 Re 0.0000 0.0000 0.0000 [1 per cell]  8 Tc 2.76, 2 Re 2.77, 2 Mo 2.78
2 Tc 0.5000 0.5000 0.2452 [2 per cell]  4 Tc 2.72-2.83, 4 Re 2.76, 4 Mo 2.78
3 Mo 0.0000 0.0000 0.5000 [1 per cell]  2 Mo 2.77, 2 Re 2.78, 8 Tc 2.78

iii) An optimized crystal structure of ReTc2Mo, computed with GGA-PBE.

Cell: 2.7587 2.7587 7.9262 Å, 90.00 90.00 90.00°
Last column: nearest neighbours and their distance in Å.
Space group P4mm (No. 99)
Inequivalent atoms, fractional coordinates:
1 Re 0.0000 0.0000 0.0000 [1 per cell]  4 Tc 2.73, 4 Re 2.76, 4 Mo 2.83
2 Tc 0.0000 0.0000 0.4824 [1 per cell]  8 Tc 2.73-2.76, 4 Mo 2.83
3 Tc 0.5000 0.5000 0.2418 [1 per cell]  8 Tc 2.73-2.76, 4 Re 2.73
4 Mo 0.5000 0.5000 0.7405 [1 per cell]  4 Mo 2.76, 4 Tc 2.83, 4 Re 2.83

iv) An optimized crystal structure of ReTc2Mo, computed with GGA-PBE.

Cell: 3.0982 4.4331 8.7949 Å, 90.00 90.00 90.00°
Last column: nearest neighbours and their distance in Å.
Space group Cmmm (No. 65)
Inequivalent atoms, fractional coordinates:
1 Re 0.0000 0.0000 0.0000 [2 per cell]  4 Tc 2.68, 4 Re 2.70
2 Tc 0.0000 0.5000 0.2493 [4 per cell]  2 Re 2.68, 2 Mo 2.69, 4 Tc 2.70
3 Mo 0.0000 0.0000 0.5000 [2 per cell]  4 Tc 2.69, 4 Mo 2.70

So which one is most stable? That would be ii), about 0.8 kJ/mol of atoms below the next structure.

i) An optimized crystal structure of ReTc2Mo, computed with GGA-PBE.

Cell: 9.1757 2.7770 4.8073 Å, 90.00 99.89 90.00°
Last column: nearest neighbours and their distance in Å.
Space group C2/m (No. 12)
Inequivalent atoms, fractional coordinates:
1 Re 0.0000 0.0000 0.0000 [2 per cell]  6 Tc 2.73-2.79, 4 Mo 2.78, 2 Re 2.78
2 Tc 0.2458 0.5000 0.2440 [4 per cell]  3 Re 2.73-2.79, 6 Tc 2.74-2.82, 3 Mo 2.75-2.81
3 Mo 0.0000 0.5000 0.5000 [2 per cell]  6 Tc 2.75-2.81, 4 Re 2.78, 2 Mo 2.78

ii) An optimized crystal structure of ReTc2Mo, computed with GGA-PBE.

Cell: 3.1170 4.4059 8.8250 Å, 90.00 90.00 90.00°
Last column: nearest neighbours and their distance in Å.
Space group Imm2 (No. 44)
Inequivalent atoms, fractional coordinates:
1 Re 0.0000 0.0000 0.0000 [2 per cell]  2 Mo 2.59, 6 Tc 2.71-2.74
2 Tc 0.0000 0.0000 0.5231 [2 per cell]  2 Mo 2.65, 4 Re 2.71, 2 Tc 2.83
3 Tc 0.0000 0.5000 0.7550 [2 per cell]  4 Mo 2.70, 2 Re 2.74, 4 Tc 2.83-3.01
4 Mo 0.0000 0.5000 0.2660 [2 per cell]  2 Re 2.59, 6 Tc 2.65-2.70

So which one is most stable? That would be i), about 3.4 kJ/mol of atoms below the next structure.

i) An optimized crystal structure of ReTc2Mo, computed with GGA-PBE.

Cell: 2.7662 3.9311 5.5403 Å, 90.00 90.00 90.00°
Last column: nearest neighbours and their distance in Å.
Space group Pmm2 (No. 25)
Inequivalent atoms, fractional coordinates:
1 Re 0.0000 0.0000 0.0000 [1 per cell]  6 Tc 2.71-2.83, 2 Re 2.77, 4 Mo 2.80
2 Tc 0.0000 0.0000 0.4885 [1 per cell]  2 Re 2.71-2.83, 6 Tc 2.76-2.77, 4 Mo 2.78
3 Tc 0.5000 0.5000 0.2435 [1 per cell]  4 Re 2.76, 6 Tc 2.76-2.77, 2 Mo 2.76-2.78
4 Mo 0.5000 0.5000 0.7417 [1 per cell]  6 Tc 2.76-2.78, 2 Mo 2.77, 4 Re 2.80

ii) An optimized crystal structure of ReTc2Mo, computed with GGA-PBE.

Cell: 3.1265 3.1265 6.2241 Å, 90.00 90.00 90.00°
Last column: nearest neighbours and their distance in Å.
Space group P4mm (No. 99)
Inequivalent atoms, fractional coordinates:
1 Re 0.0000 0.0000 0.0000 [1 per cell]  4 Tc 2.64, 4 Mo 2.77
2 Tc 0.0000 0.0000 0.5138 [1 per cell]  4 Mo 2.60, 4 Tc 2.82
3 Tc 0.5000 0.5000 0.2317 [1 per cell]  4 Re 2.64, 4 Tc 2.82
4 Mo 0.5000 0.5000 0.7329 [1 per cell]  4 Tc 2.60, 4 Re 2.77

iii) An optimized crystal structure of ReTc2Mo, computed with GGA-PBE.

Cell: 3.9209 3.9209 3.9125 Å, 90.00 90.00 90.00°
Last column: nearest neighbours and their distance in Å.
Space group P4/mmm (No. 123)
Inequivalent atoms, fractional coordinates:
1 Re 0.0000 0.0000 0.0000 [1 per cell]  8 Tc 2.77, 4 Mo 2.77
2 Tc 0.0000 0.5000 0.5000 [2 per cell]  4 Mo 2.77, 4 Re 2.77, 4 Tc 2.77
3 Mo 0.5000 0.5000 0.0000 [1 per cell]  8 Tc 2.77, 4 Re 2.77

iv) An optimized crystal structure of ReTc2Mo, computed with GGA-PBE.

Cell: 3.0947 3.0947 6.3063 Å, 90.00 90.00 90.00°
Last column: nearest neighbours and their distance in Å.
Space group P4/mmm (No. 123)
Inequivalent atoms, fractional coordinates:
1 Re 0.0000 0.0000 0.0000 [1 per cell]  8 Tc 2.72
2 Tc 0.5000 0.5000 0.2562 [2 per cell]  4 Mo 2.67, 4 Re 2.72
3 Mo 0.0000 0.0000 0.5000 [1 per cell]  8 Tc 2.67

So which one is most stable? That would be iii), about 0.8 kJ/mol of atoms below the next structure.

i) An optimized crystal structure of ReTc2Mo, computed with GGA-PBE.

Cell: 3.9253 3.9253 7.8160 Å, 90.00 90.00 90.00°
Last column: nearest neighbours and their distance in Å.
Space group I4/mmm (No. 139)
Inequivalent atoms, fractional coordinates:
1 Re 0.0000 0.0000 0.0000 [2 per cell]  8 Tc 2.77, 4 Mo 2.78
2 Tc 0.0000 0.5000 0.2500 [4 per cell]  4 Re 2.77, 4 Mo 2.77, 4 Tc 2.78
3 Mo 0.0000 0.0000 0.5000 [2 per cell]  8 Tc 2.77, 4 Re 2.78

ii) An optimized crystal structure of ReTc2Mo, computed with GGA-PBE.

Cell: 6.2262 6.2262 6.2262 Å, 90.00 90.00 90.00°
Last column: nearest neighbours and their distance in Å.
Space group Fm-3m (No. 225)
Inequivalent atoms, fractional coordinates:
1 Re 0.0000 0.0000 0.0000 [4 per cell]  8 Tc 2.70
2 Tc 0.2500 0.2500 0.2500 [8 per cell]  4 Mo 2.70, 4 Re 2.70
3 Mo 0.0000 0.0000 0.5000 [4 per cell]  8 Tc 2.70

iii) An optimized crystal structure of ReTc2Mo, computed with GGA-PBE.

Cell: 2.7625 2.7625 27.3193 Å, 90.00 90.00 120.00°
Last column: nearest neighbours and their distance in Å.
Space group R-3m (No. 166, hexagonal axes)
Inequivalent atoms, fractional coordinates:
1 Re 0.0000 0.0000 0.0000 [3 per cell]  6 Tc 2.74, 6 Re 2.76
2 Tc 0.0000 0.0000 0.2516 [6 per cell]  3 Re 2.74, 6 Tc 2.76, 3 Mo 2.82
3 Mo 0.0000 0.0000 0.5000 [3 per cell]  6 Mo 2.76, 6 Tc 2.82

iv) An optimized crystal structure of ReTc2Mo, computed with GGA-PBE.

Cell: 3.1106 4.4258 8.7838 Å, 90.00 90.00 90.00°
Last column: nearest neighbours and their distance in Å.
Space group Immm (No. 71)
Inequivalent atoms, fractional coordinates:
1 Re 0.0000 0.0000 0.0000 [2 per cell]  4 Mo 2.70, 4 Tc 2.78
2 Tc 0.0000 0.5000 0.2376 [4 per cell]  2 Mo 2.60, 4 Tc 2.71, 2 Re 2.78
3 Mo 0.0000 0.0000 0.5000 [2 per cell]  4 Tc 2.60, 4 Re 2.70

So which one is most stable? That would be i), about 0.9 kJ/mol of atoms below the next structure.

i) An optimized crystal structure of ReTcMo, computed with GGA-PBE.

Cell: 4.4082 4.4082 2.7153 Å, 90.00 90.00 120.00°
Last column: nearest neighbours and their distance in Å.
Space group P3m1 (No. 156)
Inequivalent atoms, fractional coordinates:
1 Re 0.0000 0.0000 0.0000 [1 per cell]  3 Mo 2.65, 2 Re 2.72, 3 Tc 2.75
2 Tc 0.3333 0.6667 0.3803 [1 per cell]  2 Tc 2.72, 3 Mo 2.72, 3 Re 2.75
3 Mo 0.6667 0.3333 0.7291 [1 per cell]  3 Re 2.65, 2 Mo 2.72, 3 Tc 2.72

ii) An optimized crystal structure of ReTcMo, computed with GGA-PBE.

Cell: 2.7672 2.7672 11.9648 Å, 90.00 90.00 90.00°
Last column: nearest neighbours and their distance in Å.
Space group I4mm (No. 107)
Inequivalent atoms, fractional coordinates:
1 Re 0.0000 0.0000 0.0000 [2 per cell]  4 Tc 2.68, 4 Re 2.77, 4 Mo 2.86
2 Tc 0.0000 0.0000 0.3474 [2 per cell]  4 Re 2.68, 4 Tc 2.77, 4 Mo 2.85
3 Mo 0.0000 0.0000 0.6746 [2 per cell]  4 Mo 2.77, 4 Tc 2.85, 4 Re 2.86

So which one is most stable? That would be ii), about 2.6 kJ/mol of atoms below the next structure.

i) An optimized crystal structure of ReTcMo, computed with GGA-PBE.

Cell: 3.1029 4.4696 13.1672 Å, 90.00 90.00 90.00°
Last column: nearest neighbours and their distance in Å.
Space group Fmm2 (No. 42)
Inequivalent atoms, fractional coordinates:
1 Re 0.0000 0.0000 0.0000 [4 per cell]  2 Tc 2.69, 2 Mo 2.69, 4 Re 2.72
2 Tc 0.0000 0.0000 0.3332 [4 per cell]  2 Mo 2.68, 2 Re 2.69, 4 Tc 2.72
3 Mo 0.0000 0.0000 0.6668 [4 per cell]  2 Tc 2.68, 2 Re 2.69, 4 Mo 2.72

ii) An optimized crystal structure of ReTcMo, computed with GGA-PBE.

Cell: 2.7764 3.9364 8.3510 Å, 90.00 90.00 90.00°
Last column: nearest neighbours and their distance in Å.
Space group Imm2 (No. 44)
Inequivalent atoms, fractional coordinates:
1 Re 0.0000 0.0000 0.0000 [2 per cell]  5 Mo 2.75-2.80, 5 Tc 2.75-2.84, 2 Re 2.78
2 Tc 0.0000 0.0000 0.3404 [2 per cell]  5 Re 2.75-2.84, 5 Mo 2.76-2.79, 2 Tc 2.78
3 Mo 0.0000 0.0000 0.6708 [2 per cell]  5 Re 2.75-2.80, 5 Tc 2.76-2.79, 2 Mo 2.78

So which one is most stable? That would be ii), about 3.5 kJ/mol of atoms below the next structure.

i) An optimized crystal structure of Re2Tc2Mo, computed with GGA-PBE.

Cell: 5.2048 4.3903 6.7991 Å, 90.00 102.15 90.00°
Last column: nearest neighbours and their distance in Å.
Space group P2_1/m (No. 11)
Inequivalent atoms, fractional coordinates:
1 Re 0.0444 0.2500 0.3563 [2 per cell]  3 Mo 2.67-2.69, 4 Tc 2.77-2.87, 1 Re 2.78
2 Re 0.1241 0.7500 0.0604 [2 per cell]  1 Mo 2.55, 4 Tc 2.59-2.84, 3 Re 2.59-2.78
3 Tc 0.3764 0.7500 0.4311 [2 per cell]  1 Mo 2.52, 3 Re 2.59-2.77, 3 Tc 2.62-2.81
4 Tc 0.4576 0.2500 0.1487 [2 per cell]  3 Mo 2.68-2.70, 4 Re 2.78-2.84, 1 Tc 2.81
5 Mo 0.2493 0.2500 0.7504 [2 per cell]  4 Tc 2.52-2.70, 4 Re 2.55-2.69

ii) An optimized crystal structure of Re2Tc2Mo, computed with GGA-PBE.

Cell: 7.4935 7.4935 2.7861 Å, 90.00 90.00 90.00°
Last column: nearest neighbours and their distance in Å.
Space group P4/mbm (No. 127)
Inequivalent atoms, fractional coordinates:
1 Re 0.1698 0.3302 0.0000 [4 per cell]  6 Tc 2.56-2.65, 2 Re 2.79
2 Tc 0.1275 0.6275 0.5000 [4 per cell]  6 Re 2.56-2.65, 3 Tc 2.70-2.79
3 Mo 0.0000 0.0000 0.5000 [2 per cell]  2 Mo 2.79, 4 Tc 2.95, 8 Re 3.11

So which one is most stable? That would be i), about 10.2 kJ/mol of atoms below the next structure.

i) An optimized crystal structure of ReTcMo4, computed with GGA-PBE.

Cell: 7.2671 7.2671 7.2671 Å, 90.00 90.00 90.00°
Last column: nearest neighbours and their distance in Å.
Space group F-43m (No. 216)
Inequivalent atoms, fractional coordinates:
1 Re 0.0000 0.0000 0.0000 [4 per cell]  12 Mo 3.01, 4 Tc 3.15
2 Tc 0.2500 0.2500 0.7500 [4 per cell]  12 Mo 3.01, 4 Re 3.15
3 Mo 0.1251 0.1251 0.3749 [16 per cell]  6 Mo 2.57

ii) An optimized crystal structure of ReTcMo4, computed with GGA-PBE.

Cell: 9.9274 3.1461 6.2958 Å, 90.00 108.63 90.00°
Last column: nearest neighbours and their distance in Å.
Space group C2/m (No. 12)
Inequivalent atoms, fractional coordinates:
1 Re 0.0000 0.0000 0.0000 [2 per cell]  8 Mo 2.73
2 Tc 0.0000 0.0000 0.5000 [2 per cell]  8 Mo 2.73-2.74
3 Mo 0.1684 0.5000 0.3332 [4 per cell]  4 Mo 2.71, 2 Re 2.73, 2 Tc 2.74
4 Mo 0.1677 0.5000 0.8343 [4 per cell]  4 Mo 2.71, 2 Tc 2.73, 2 Re 2.73

So which one is most stable? That would be ii), about 31.4 kJ/mol of atoms below the next structure.